(1)
Na3Sn2Hg2Sb4: relaxed, GGA-PBE.

Cell lengths 4.998, 4.998, 15.776 Å; angles 90.00, 90.00, 120.00 degrees
Fractional positions:
Sb (0.667, 0.333, 0.126)
Sb (0.667, 0.333, 0.620)
Sn (0.667, 0.333, 0.429)
Hg (0.333, 0.667, 0.153)
Sb (0.333, 0.667, 0.380)
Sn (0.333, 0.667, 0.571)
Na (0.000, 0.000, 0.000)
Sb (0.333, 0.667, 0.874)
Hg (0.667, 0.333, 0.847)
Na (0.000, 0.000, 0.743)
Na (0.000, 0.000, 0.257)

=====

(2)
Na2SrHg2Sb2: relaxed, GGA-PBE.

Cell lengths 4.983, 4.983, 9.583 Å; angles 74.93, 74.93, 60.00 degrees
Fractional positions:
Sb (0.738, 0.738, 0.787)
Hg (0.445, 0.445, 0.664)
Sb (0.262, 0.262, 0.213)
Na (0.142, 0.142, 0.573)
Na (0.858, 0.858, 0.427)
Hg (0.555, 0.555, 0.336)
Sr (0.000, 0.000, 0.000)

=====

(3)
NaTbHgSb: relaxed, GGA-PBE.

Cell lengths 5.291, 5.291, 5.291 Å; angles 60.00, 60.00, 60.00 degrees
Fractional positions:
Tb (0.500, 0.500, 0.500)
Hg (0.750, 0.750, 0.750)
Na (0.000, 0.000, 0.000)
Sb (0.250, 0.250, 0.250)

=====

(4)
NaTcHg2Sb: relaxed, GGA-PBE.

Cell lengths 5.394, 5.022, 5.394 Å; angles 90.00, 90.00, 90.00 degrees
Fractional positions:
Hg (0.000, 0.000, 0.500)
Na (0.500, 0.500, 0.500)
Tc (0.000, 0.000, 0.000)
Hg (0.500, 0.000, 0.000)
Sb (0.000, 0.500, 0.000)

=====

no.,ρ (g cm⁻³),uncorrected formation energy (meV/atom),D(E_F) (states/eV per atom)
1,5.81,-153,0.20
2,6.57,-453,0.08
3,8.00,-481,0.92
4,7.32,163,0.42